Entry one
This record from Alexandria describes a relaxed ErZrGe2 crystal. The functional is PBE.

Structure (extended XYZ):
```
8
Lattice="-1.168 4.183 -3.583 -4.957 -2.396 -1.181 0.659 2.017 6.565" Properties=species:S:1:pos:R:3 pbc="T T T"
Er -3.063 0.894 -2.382
Er -3.680 0.258 1.501
Zr -1.786 3.547 0.300
Zr 0.000 0.000 0.000
Ge -4.294 2.386 -0.238
Ge -0.614 2.128 -1.739
Ge -1.172 1.419 2.039
Ge -2.958 4.966 2.339
```

Output
- N(E_F): 0.7750 states/eV/atom

***

Entry two
This record from Alexandria describes a relaxed ErZrGe2 crystal. The functional is PBE.

Structure (extended XYZ):
```
16
Lattice="5.441 0.000 -1.323 0.000 5.616 0.000 -0.262 0.000 10.805" Properties=species:S:1:pos:R:3 pbc="T T T"
Er 4.964 3.525 5.666
Er 0.215 2.091 3.816
Er 2.805 3.525 8.557
Er 2.374 2.091 0.925
Zr 2.911 4.926 3.216
Zr 2.268 0.690 6.266
Zr 5.119 4.926 0.203
Zr 0.060 0.690 9.279
Ge 4.964 2.099 -0.286
Ge 0.215 3.517 9.768
Ge 3.066 2.099 3.704
Ge 2.113 3.517 5.778
Ge 2.885 0.708 9.023
Ge 2.294 4.908 0.459
Ge 4.884 0.708 5.200
Ge 0.295 4.908 4.282
```

Output
- N(E_F): 0.2886 states/eV/atom

***

Entry three
This record from Alexandria describes a relaxed ErZrGe2 crystal. The functional is PBE.

Structure (extended XYZ):
```
4
Lattice="3.911 0.000 0.000 1.956 3.387 0.000 1.956 1.129 6.752" Properties=species:S:1:pos:R:3 pbc="T T T"
Ge 5.867 3.387 5.164
Ge 1.956 1.129 1.587
Zr 0.000 0.000 0.000
Er 3.911 2.258 3.376
```

Output
- N(E_F): 0.5465 states/eV/atom

***

Stability summary - winner: entry two; margin: 92 meV per atom.